This record from Alexandria describes a relaxed structure of LiCaBPd2. The functional is GGA-PBE.

Cell: 4.2839 4.2839 4.3811 Å, 90.00 90.00 90.00°
With the nearest neighbours (Å) after each atom.
Space group P4/mmm (No. 123)
Unique sites:
1 Li 0.0000 0.0000 0.0000 (multiplicity 1)  2 B 2.19
2 Ca 0.5000 0.5000 0.0000 (multiplicity 1)  4 Li 3.03, 8 Pd 3.06
3 B 0.0000 0.0000 0.5000 (multiplicity 1)  4 Pd 2.14, 2 Li 2.19
4 Pd 0.0000 0.5000 0.5000 (multiplicity 2)  2 B 2.14

Results
**Energy of formation from the pure elements**: -0.3814 eV/atom
**Energy**: -4.58 eV per atom
**M_tot**: 0.00 μB/f.u.
**DOS(E_F)**: 4.39 states/eV per cell

---

This record from Alexandria describes a relaxed structure of Sc2VPdAu. The functional is GGA-PBE.

Cell: 5.0307 5.0307 5.0186 Å, 90.00 90.00 90.00°
With the nearest neighbours (Å) after each atom.
Space group P4/mmm (No. 123)
Unique sites:
1 Sc 0.0000 0.5000 0.0000 (multiplicity 2)  2 Au 2.52
2 V 0.0000 0.0000 0.5000 (multiplicity 1)  8 Sc 3.55, 4 Pd 3.56
3 Pd 0.5000 0.5000 0.5000 (multiplicity 1)  2 Au 2.51
4 Au 0.5000 0.5000 0.0000 (multiplicity 1)  2 Pd 2.51, 4 Sc 2.52

Results
**Energy of formation from the pure elements**: 0.5777 eV/atom
**Energy**: -5.47 eV per atom
**M_tot**: 4.07 μB/f.u.
**DOS(E_F)**: 6.15 states/eV per cell

---

This record from Alexandria describes a relaxed structure of LaURu3. The functional is GGA-PBE.

Cell: 16.4563 4.3045 6.2658 Å, 90.00 107.81 90.00°
With the nearest neighbours (Å) after each atom.
Space group C2/m (No. 12)
Unique sites:
1 La 0.0748 0.0000 0.3230 (multiplicity 4)  7 Ru 2.92-3.26
2 U 0.2119 0.5000 0.1589 (multiplicity 4)  2 Ru 2.33-2.41
3 Ru 0.0704 0.5000 0.9293 (multiplicity 4)  1 U 2.33
4 Ru 0.1387 0.0000 0.8123 (multiplicity 4)  1 U 2.41, 2 Ru 2.63
5 Ru 0.2101 0.5000 0.6010 (multiplicity 4)  3 U 2.71-2.78, 4 Ru 2.95-3.00

Results
**Energy of formation from the pure elements**: -0.2189 eV/atom
**Energy**: -9.03 eV per atom
**M_tot**: 0.00 μB/f.u.
**DOS(E_F)**: 11.91 states/eV per cell

---

This record from Alexandria describes a relaxed structure of AsPdSeN2. The functional is GGA-PBE.

Cell: 3.9635 3.9635 5.4668 Å, 90.00 90.00 90.00°
With the nearest neighbours (Å) after each atom.
Space group P4/mmm (No. 123)
Unique sites:
1 As 0.0000 0.0000 0.0000 (multiplicity 1)  4 Se 2.80
2 Pd 0.5000 0.5000 0.5000 (multiplicity 1)  4 N 1.98
3 Se 0.5000 0.5000 0.0000 (multiplicity 1)  2 Pd 2.73, 4 As 2.80
4 N 0.0000 0.5000 0.5000 (multiplicity 2)  2 Pd 1.98

Results
**Formation energy without anion corrections**: 1439 meV per atom
**Energy**: -4.56 eV per atom
**M_tot**: 2.68 μB/f.u.
**DOS(E_F)**: 1.98 states/eV per cell

---

This record from Alexandria describes a relaxed structure of VTcSb2I. The functional is GGA-PBE.

Cell: 5.0489 5.0489 5.8425 Å, 90.00 90.00 90.00°
With the nearest neighbours (Å) after each atom.
Space group P4/mmm (No. 123)
Unique sites:
1 V 0.0000 0.0000 0.0000 (multiplicity 1)  4 I 3.57, 8 Sb 3.86
2 Tc 0.5000 0.5000 0.5000 (multiplicity 1)  4 Sb 2.52
3 Sb 0.0000 0.5000 0.5000 (multiplicity 2)  2 Tc 2.52
4 I 0.5000 0.5000 0.0000 (multiplicity 1)  2 Tc 2.92

Results
**Formation energy without anion corrections**: 906 meV per atom
**Energy**: -4.95 eV per atom
**M_tot**: 3.96 μB/f.u.
**DOS(E_F)**: 4.92 states/eV per cell

---

This record from Alexandria describes a relaxed structure of HfTh2Pa. The functional is GGA-PBE.

Cell: 3.4355 3.4355 9.4203 Å, 90.00 90.00 90.00°
With the nearest neighbours (Å) after each atom.
Space group P4/mmm (No. 123)
Unique sites:
1 Hf 0.0000 0.0000 0.0000 (multiplicity 1)  8 Th 3.36, 4 Hf 3.44
2 Th 0.5000 0.5000 0.2460 (multiplicity 2)  4 Hf 3.36, 4 Pa 3.41, 4 Th 3.44
3 Pa 0.0000 0.0000 0.5000 (multiplicity 1)  8 Th 3.41, 4 Pa 3.44

Results
**Energy of formation from the pure elements**: 0.1325 eV/atom
**Energy**: -8.44 eV per atom
**M_tot**: 0.00 μB/f.u.
**DOS(E_F)**: 5.73 states/eV per cell

---

This record from Alexandria describes a relaxed structure of LaNdHg2. The functional is GGA-PBE.

Cell: 3.9603 3.9603 28.0067 Å, 90.00 90.00 120.00°
With the nearest neighbours (Å) after each atom.
Space group R3m (No. 160, hexagonal axes)
Unique sites:
1 La 0.0000 0.0000 0.0000 (multiplicity 3)  6 Hg 3.30
2 Nd 0.0000 0.0000 0.8334 (multiplicity 3)  6 Hg 3.24
3 Hg 0.0000 0.0000 0.4183 (multiplicity 3)  3 Nd 3.24, 3 La 3.30
4 Hg 0.0000 0.0000 0.5819 (multiplicity 3)  3 Nd 3.24, 3 La 3.30

Results
**Energy of formation from the pure elements**: -0.3313 eV/atom
**Energy**: -2.91 eV per atom
**M_tot**: 0.00 μB/f.u.
**DOS(E_F)**: 10.76 states/eV per cell

---

This record from Alexandria describes a relaxed structure of Sr2MgAl4Pd3. The functional is GGA-PBE.

Cell: 4.3269 4.3269 11.3532 Å, 90.00 90.00 90.00°
With the nearest neighbours (Å) after each atom.
Space group P-4m2 (No. 115)
Unique sites:
1 Sr 0.0000 0.5000 0.2406 (multiplicity 2)  8 Al 3.32-3.48, 6 Pd 3.34-3.65, 2 Mg 3.65
2 Mg 0.0000 0.0000 0.5000 (multiplicity 1)  4 Al 2.73
3 Al 0.0000 0.0000 0.0000 (multiplicity 1)  4 Pd 2.57
4 Al 0.0000 0.5000 0.6467 (multiplicity 2)  3 Pd 2.62-2.73, 2 Mg 2.73
5 Al 0.5000 0.5000 0.0000 (multiplicity 1)  4 Pd 2.57
6 Pd 0.0000 0.5000 0.8774 (multiplicity 2)  5 Al 2.57-2.62
7 Pd 0.5000 0.5000 0.5000 (multiplicity 1)  4 Al 2.73

Results
**Energy of formation from the pure elements**: -0.5776 eV/atom
**Energy**: -4.13 eV per atom
**M_tot**: 0.00 μB/f.u.
**DOS(E_F)**: 4.49 states/eV per cell